4
Lattice="3.220 0.000 0.000 0.000 3.220 0.000 0.000 0.000 8.710" Properties=species:S:1:pos:R:3 comment="TeRuCl2, optimized geometry, DFT PBE" dos_ef_per_ev_atom=1.25 de_polymorph_mev_per_atom=420.1 spacegroup="No. 99" pbc="T T T"
Te 0.000 0.000 0.000
Ru 1.610 1.610 7.176
Cl 0.000 0.000 5.552
Cl 1.610 1.610 2.067

***

8
Lattice="5.340 0.000 0.000 0.000 13.150 0.000 0.000 0.000 3.187" Properties=species:S:1:pos:R:3 comment="TeRuCl2, optimized geometry, DFT PBE" dos_ef_per_ev_atom=0.76 de_polymorph_mev_per_atom=105.6 spacegroup="No. 65" pbc="T T T"
Te 0.000 0.000 0.000
Te 2.670 6.575 0.000
Ru 0.000 6.575 0.000
Ru 2.670 0.000 0.000
Cl 0.000 4.790 1.594
Cl 0.000 8.361 1.594
Cl 2.670 1.786 1.594
Cl 2.670 11.365 1.594

***

12
Lattice="3.455 0.000 0.000 -1.728 2.992 0.000 0.000 0.000 31.060" Properties=species:S:1:pos:R:3 comment="TeRuCl2, optimized geometry, DFT PBE" dos_ef_per_ev_atom=1.21 de_polymorph_mev_per_atom=308.7 spacegroup="No. 166" pbc="T T T"
Te 0.000 0.000 0.000
Te 0.000 1.995 20.707
Te 1.728 0.997 10.353
Ru 0.000 0.000 15.530
Ru 0.000 1.995 5.177
Ru 1.728 0.997 25.883
Cl 0.000 0.000 6.492
Cl 0.000 0.000 24.567
Cl 0.000 1.995 14.214
Cl 0.000 1.995 27.199
Cl 1.728 0.997 3.861
Cl 1.728 0.997 16.846

***

5
Lattice="4.936 0.000 0.000 0.000 4.936 0.000 0.000 0.000 4.936" Properties=species:S:1:pos:R:3 comment="TeRu3Cl, optimized geometry, DFT PBE" dos_ef_per_ev_atom=1.12 de_polymorph_mev_per_atom=452.0 spacegroup="No. 221" pbc="T T T"
Te 0.000 0.000 0.000
Ru 0.000 0.000 2.468
Ru 0.000 2.468 0.000
Ru 2.468 0.000 0.000
Cl 2.468 2.468 2.468

***

10
Lattice="8.057 0.000 0.000 0.000 8.057 0.000 0.000 0.000 3.146" Properties=species:S:1:pos:R:3 comment="Te2Ru2Cl, optimized geometry, DFT PBE" dos_ef_per_ev_atom=0.98 de_polymorph_mev_per_atom=499.8 spacegroup="No. 127" pbc="T T T"
Te 1.178 2.850 0.000
Te 2.850 6.878 0.000
Te 5.207 1.178 0.000
Te 6.878 5.207 0.000
Ru 1.020 5.048 1.573
Ru 3.008 1.020 1.573
Ru 5.048 7.036 1.573
Ru 7.036 3.008 1.573
Cl 0.000 0.000 0.000
Cl 4.028 4.028 0.000

***

4
Lattice="4.743 0.000 0.000 0.000 3.756 0.000 -1.701 0.000 5.623" Properties=species:S:1:pos:R:3 comment="TeRuCl2, optimized geometry, DFT PBE" de_polymorph_mev_per_atom=74.3 spacegroup="No. 6" pbc="T T T"
Te 0.000 0.000 0.000
Ru 2.763 1.878 4.000
Cl 0.437 1.878 3.462
Cl 2.778 0.000 2.111

***

no.,total magnetization (μB/f.u.)
1,0.0
2,0.7
3,0.4
4,4.4
5,0.0
6,0.0